# PBE-GGA CsPaNiS3, optimized geometry
# **Formation energy without anion corrections**: -1.319 eV/atom
data_CsPaNiS3
_chemical_formula_sum 'Cs2 Pa2 Ni2 S6'
_symmetry_space_group_name_H-M 'P 1 21/m 1'
_symmetry_Int_Tables_number 11
_symmetry_space_group_name_Hall '-P 2yb'
_cell_length_a 9.4252
_cell_length_b 3.9566
_cell_length_c 9.5898
_cell_angle_alpha 90.00
_cell_angle_beta 114.00
_cell_angle_gamma 90.00
loop_
_atom_site_label
_atom_site_type_symbol
_atom_site_fract_x
_atom_site_fract_y
_atom_site_fract_z
Cs1 Cs 0.2135 0.2500 0.2558
Pa1 Pa 0.3091 0.7500 0.8284
Ni1 Ni 0.0887 0.2500 0.6013
S1 S 0.1290 0.2500 0.8527
S2 S 0.1761 0.7500 0.5352
S3 S 0.4743 0.7500 0.1463

# PBE-GGA BeV2Ga2Ni7, optimized geometry
# **E**: -68.03 eV/f.u.
data_BeV2Ga2Ni7
_chemical_formula_sum 'Be2 V4 Ga4 Ni14'
_symmetry_space_group_name_H-M 'I 4/m m m'
_symmetry_Int_Tables_number 139
_symmetry_space_group_name_Hall '-I 4 2'
_cell_length_a 3.2449
_cell_length_b 3.2449
_cell_length_c 28.0805
_cell_angle_alpha 90.00
_cell_angle_beta 90.00
_cell_angle_gamma 90.00
loop_
_atom_site_label
_atom_site_type_symbol
_atom_site_fract_x
_atom_site_fract_y
_atom_site_fract_z
Be1 Be 0.0000 0.0000 0.0000
V1 V 0.0000 0.0000 0.3679
Ga1 Ga 0.0000 0.0000 0.1860
Ni1 Ni 0.0000 0.0000 0.2747
Ni2 Ni 0.0000 0.0000 0.5000
Ni3 Ni 0.0000 0.5000 0.0663

# PBE-GGA NpNiTe2, optimized geometry
# **Formation energy without anion corrections**: -0.237 eV/atom
# **Excess energy over the best structure of this formula in the dataset**: 0.260 eV per atom
data_NpNiTe2
_chemical_formula_sum 'Np3 Ni3 Te6'
_symmetry_space_group_name_H-M 'R 3 m'
_symmetry_Int_Tables_number 160
_symmetry_space_group_name_Hall 'R 3 -2"'
_cell_length_a 4.0492
_cell_length_b 4.0492
_cell_length_c 20.6071
_cell_angle_alpha 90.00
_cell_angle_beta 90.00
_cell_angle_gamma 120.00
loop_
_atom_site_label
_atom_site_type_symbol
_atom_site_fract_x
_atom_site_fract_y
_atom_site_fract_z
Np1 Np 0.0000 0.0000 0.0000
Ni1 Ni 0.0000 0.0000 0.1717
Te1 Te 0.0000 0.0000 0.5669
Te2 Te 0.0000 0.0000 0.7634

# PBE-GGA RbTb4CeS8, optimized geometry
# **Formation energy without anion corrections**: -1.880 eV/atom
data_RbTb4CeS8
_chemical_formula_sum 'Rb3 Tb12 Ce3 S24'
_symmetry_space_group_name_H-M 'R 3 m'
_symmetry_Int_Tables_number 160
_symmetry_space_group_name_Hall 'R 3 -2"'
_cell_length_a 8.2942
_cell_length_b 8.2942
_cell_length_c 20.7675
_cell_angle_alpha 90.00
_cell_angle_beta 90.00
_cell_angle_gamma 120.00
loop_
_atom_site_label
_atom_site_type_symbol
_atom_site_fract_x
_atom_site_fract_y
_atom_site_fract_z
Rb1 Rb 0.0000 0.0000 0.0000
Tb1 Tb 0.0000 0.0000 0.2532
Tb2 Tb 0.1723 0.3446 0.4598
Ce1 Ce 0.0000 0.0000 0.6315
S1 S 0.0000 0.0000 0.3846
S2 S 0.0000 0.0000 0.8582
S3 S 0.0477 0.5238 0.3864
S4 S 0.1739 0.3477 0.2066

# PBE-GGA Pr2Dy6Ho3Pu, optimized geometry
# **E**: -64.62 eV/f.u.
data_Pr2Dy6Ho3Pu
_chemical_formula_sum 'Pr4 Dy12 Ho6 Pu2'
_symmetry_space_group_name_H-M 'C 1 2/m 1'
_symmetry_Int_Tables_number 12
_symmetry_space_group_name_Hall '-C 2y'
_cell_length_a 6.1598
_cell_length_b 10.6807
_cell_length_c 11.7504
_cell_angle_alpha 90.00
_cell_angle_beta 100.12
_cell_angle_gamma 90.00
loop_
_atom_site_label
_atom_site_type_symbol
_atom_site_fract_x
_atom_site_fract_y
_atom_site_fract_z
Pr1 Pr 0.0000 0.1665 0.0000
Dy1 Dy 0.2451 0.5000 0.7478
Dy2 Dy 0.2483 0.3355 0.2520
Ho1 Ho 0.0000 0.0000 0.5000
Ho2 Ho 0.0000 0.3333 0.5000
Pu1 Pu 0.0000 0.5000 0.0000

# PBE-GGA LiZnRh2N, optimized geometry
# **Formation energy without anion corrections**: -0.218 eV/atom
data_LiZnRh2N
_chemical_formula_sum 'Li1 Zn1 Rh2 N1'
_symmetry_space_group_name_H-M 'P 4/m m m'
_symmetry_Int_Tables_number 123
_symmetry_space_group_name_Hall '-P 4 2'
_cell_length_a 4.0068
_cell_length_b 4.0068
_cell_length_c 3.9060
_cell_angle_alpha 90.00
_cell_angle_beta 90.00
_cell_angle_gamma 90.00
loop_
_atom_site_label
_atom_site_type_symbol
_atom_site_fract_x
_atom_site_fract_y
_atom_site_fract_z
Li1 Li 0.0000 0.0000 0.0000
Zn1 Zn 0.5000 0.5000 0.0000
Rh1 Rh 0.0000 0.5000 0.5000
N1 N 0.0000 0.0000 0.5000